1.
Material: SmZnSn
Method: DFT, PBE
State: optimized geometry

The value obtained for the total energy is -3.7765 eV per atom. The space-group type is No. 216. The calculated volume is 75 Å³/cell. Its crystal system is cubic.

abc: 4.7345 4.7345 4.7345
angles: 60.00 60.00 60.00
With the nearest neighbours (Å) after each atom.
Sites, in units of the cell vectors:
Sn 0.7500 0.7500 0.7500  4 Zn 2.90
Zn 0.0000 0.0000 0.0000  4 Sn 2.90, 4 Sm 2.90
Sm 0.2500 0.2500 0.2500  4 Zn 2.90

2.
Material: Li2HfZrGe2Pt2
Method: DFT, PBE
State: optimized geometry

The value obtained for the total energy is -6.1001 eV per atom. The space-group type is No. 115. The calculated volume is 130 Å³/cell. Its crystal system is tetragonal.

abc: 4.0941 4.0941 7.7336
angles: 90.00 90.00 90.00
With the nearest neighbours (Å) after each atom.
Sites, in units of the cell vectors:
Ge 0.0000 0.0000 0.5000  4 Li 2.81, 4 Zr 2.89, 4 Pt 2.90
Ge 0.5000 0.5000 0.0000  4 Pt 2.73, 4 Li 2.82, 4 Hf 2.89
Li 0.5000 0.0000 0.2517  2 Zr 2.81, 4 Ge 2.81-2.82, 2 Hf 2.82, 4 Pt 2.90
Li 0.0000 0.5000 0.7483  4 Ge 2.81-2.82, 2 Zr 2.81, 2 Hf 2.82, 4 Pt 2.90
Hf 0.0000 0.0000 0.0000  4 Pt 2.73, 4 Li 2.82, 4 Ge 2.89
Zr 0.5000 0.5000 0.5000  4 Li 2.81, 4 Ge 2.89, 4 Pt 2.90
Pt 0.5000 0.0000 0.7656  2 Hf 2.73, 4 Ge 2.73-2.90, 4 Li 2.90, 2 Zr 2.90
Pt 0.0000 0.5000 0.2344  4 Ge 2.73-2.90, 2 Hf 2.73, 4 Li 2.90, 2 Zr 2.90

3.
Material: ZnTcBi2
Method: DFT, PBE
State: optimized geometry

The value obtained for the total energy is -4.1519 eV per atom. The space-group type is No. 216. The calculated volume is 89 Å³/cell. Its crystal system is cubic.

abc: 5.0039 5.0039 5.0039
angles: 60.00 60.00 60.00
With the nearest neighbours (Å) after each atom.
Sites, in units of the cell vectors:
Bi 0.2500 0.2500 0.2500  4 Bi 3.06, 4 Zn 3.06
Bi 0.0000 0.0000 0.0000  4 Bi 3.06, 4 Tc 3.06
Zn 0.5000 0.5000 0.5000  4 Tc 3.06, 4 Bi 3.06
Tc 0.7500 0.7500 0.7500  4 Bi 3.06, 4 Zn 3.06

4.
Material: Dy3YSc2Bi2Os
Method: DFT, PBE
State: optimized geometry

The value obtained for the total energy is -6.3889 eV per atom. The space-group type is No. 38. The calculated volume is 240 Å³/cell. Its crystal system is orthorhombic.

abc: 4.2282 8.0912 8.0912
angles: 119.95 90.00 90.00
With the nearest neighbours (Å) after each atom.
Sites, in units of the cell vectors:
Sc 0.5000 0.7738 0.9995  2 Os 2.76
Sc 0.5000 0.9995 0.7738  2 Os 2.76
Os 0.0000 0.9853 0.9853  4 Sc 2.76, 2 Y 2.90, 1 Dy 2.97
Dy 0.0000 0.9975 0.3890  1 Os 3.22, 4 Bi 3.23-3.31, 2 Sc 3.46, 2 Y 3.48
Dy 0.0000 0.6180 0.6180  1 Os 2.97, 4 Bi 3.31
Dy 0.0000 0.3890 0.9975  1 Os 3.22, 4 Bi 3.23-3.31, 2 Sc 3.46, 2 Y 3.48
Y 0.5000 0.2296 0.2296  2 Os 2.90, 2 Sc 3.20
Bi 0.5000 0.3343 0.6729  2 Sc 3.20, 6 Dy 3.23-3.31, 1 Y 3.25
Bi 0.5000 0.6729 0.3343  2 Sc 3.20, 6 Dy 3.23-3.31, 1 Y 3.25

5.
Material: BaSnHg3
Method: DFT, PBE
State: optimized geometry

The value obtained for the total energy is -1.7485 eV per atom. The space-group type is No. 11. The calculated volume is 302 Å³/cell. Its crystal system is monoclinic.

abc: 6.6835 7.0146 7.0137
angles: 90.00 113.27 90.00
With the nearest neighbours (Å) after each atom.
Sites, in units of the cell vectors:
Ba 0.2617 0.7500 0.2137  10 Hg 3.66-3.88, 4 Sn 3.79-3.92
Ba 0.7383 0.2500 0.7863  10 Hg 3.66-3.88, 4 Sn 3.79-3.92
Hg 0.2465 0.9733 0.7023  2 Sn 2.95-3.04, 3 Hg 2.96-3.13
Hg 0.6619 0.7500 0.9539  1 Sn 2.88, 4 Hg 2.96-3.07
Hg 0.2465 0.5267 0.7023  2 Sn 2.95-3.04, 3 Hg 2.96-3.13
Hg 0.7535 0.4733 0.2977  2 Sn 2.95-3.04, 3 Hg 2.96-3.13
Hg 0.7535 0.0267 0.2977  2 Sn 2.95-3.04, 3 Hg 2.96-3.13
Hg 0.3381 0.2500 0.0461  1 Sn 2.88, 4 Hg 2.96-3.07
Sn 0.1657 0.2500 0.3625  5 Hg 2.88-3.04
Sn 0.8343 0.7500 0.6375  5 Hg 2.88-3.04

6.
Material: NdSmGa2Br2
Method: DFT, PBE
State: optimized geometry

The value obtained for the total energy is -4.4042 eV per atom. The space-group type is No. 156. The calculated volume is 177 Å³/cell. Its crystal system is trigonal.

abc: 4.2125 4.2125 11.4941
angles: 90.00 90.00 120.00
With the nearest neighbours (Å) after each atom.
Sites, in units of the cell vectors:
Br 0.6667 0.3333 0.8406  3 Nd 3.03
Br 0.3333 0.6667 0.1611  3 Sm 3.02
Ga 0.3333 0.6667 0.5260  3 Ga 2.51
Ga 0.6667 0.3333 0.4725  3 Ga 2.51
Sm 0.0000 0.0000 0.3167  3 Br 3.02, 3 Ga 3.02
Nd 0.0000 0.0000 0.6832  3 Ga 3.03, 3 Br 3.03